(1)
! Sr2PuVO6 (PBE+U, optimized geometry); values from VASP
! Symmetry: P2_1/c, No. 14
! Crystal system: monoclinic
! VASP energy (eV per atom): -8.226
! Fermi-level density of states (states/eV/atom): 0.834
! Mass density (g cm⁻³): 6.76
&SYSTEM
  ibrav = 0, nat = 20, ntyp = 4
/
ATOMIC_SPECIES
O 16.00 O.upf
Sr 87.62 Sr.upf
V 50.94 V.upf
Pu 244.00 Pu.upf
CELL_PARAMETERS angstrom
5.823 0.000 -0.020
0.000 5.831 0.000
0.025 0.000 8.185
ATOMIC_POSITIONS crystal
O 0.283 0.715 0.462
Sr 0.494 0.471 0.248
V 0.000 0.500 0.500
Sr 0.006 0.971 0.252
O 0.783 0.785 0.962
O 0.705 0.277 0.964
O 0.717 0.285 0.538
O 0.570 0.016 0.241
O 0.070 0.484 0.741
O 0.295 0.723 0.036
O 0.205 0.223 0.464
O 0.795 0.777 0.536
Sr 0.994 0.029 0.748
Sr 0.506 0.529 0.752
O 0.930 0.516 0.259
Pu 0.000 0.500 0.000
V 0.500 0.000 0.000
O 0.217 0.215 0.038
O 0.430 0.984 0.759
Pu 0.500 0.000 0.500

***

(2)
! SrPuVO6 (PBE+U, optimized geometry); values from VASP
! Symmetry: P-31c, No. 163
! Crystal system: trigonal
! VASP energy (eV per atom): -8.434
! Fermi-level density of states (states/eV/atom): 0.769
! Mass density (g cm⁻³): 5.90
&SYSTEM
  ibrav = 0, nat = 18, ntyp = 4
/
ATOMIC_SPECIES
Sr 87.62 Sr.upf
O 16.00 O.upf
V 50.94 V.upf
Pu 244.00 Pu.upf
CELL_PARAMETERS angstrom
-4.930 -0.399 2.163
0.764 -1.182 -5.211
1.960 -10.163 2.593
ATOMIC_POSITIONS crystal
Sr 0.000 0.000 0.500
O 0.635 0.016 0.351
O 0.365 0.382 0.851
O 0.635 0.618 0.149
O 0.618 0.984 0.851
O 0.984 0.365 0.149
O 0.382 0.365 0.351
V 0.667 0.333 0.250
Pu 0.333 0.667 0.250
Pu 0.667 0.333 0.750
O 0.016 0.635 0.851
O 0.365 0.984 0.649
O 0.016 0.382 0.649
O 0.984 0.618 0.351
Sr 0.000 0.000 0.000
O 0.618 0.635 0.649
O 0.382 0.016 0.149
V 0.333 0.667 0.750

***

(3)
! SrPuV2O8 (PBE+U, optimized geometry); values from VASP
! Symmetry: I-4m2, No. 119
! Crystal system: tetragonal
! VASP energy (eV per atom): -8.290
! Fermi-level density of states (states/eV/atom): 0.782
! Mass density (g cm⁻³): 5.26
&SYSTEM
  ibrav = 0, nat = 12, ntyp = 4
/
ATOMIC_SPECIES
O 16.00 O.upf
Sr 87.62 Sr.upf
V 50.94 V.upf
Pu 244.00 Pu.upf
CELL_PARAMETERS angstrom
6.155 -0.026 0.000
-2.753 5.505 0.000
-1.701 -2.740 5.243
ATOMIC_POSITIONS crystal
O 0.738 0.066 0.672
Sr 0.000 0.000 0.000
O 0.338 0.149 0.810
O 0.338 0.528 0.190
O 0.472 0.662 0.810
O 0.934 0.606 0.672
O 0.394 0.066 0.328
O 0.934 0.262 0.328
V 0.500 0.500 0.000
O 0.851 0.662 0.190
V 0.750 0.250 0.500
Pu 0.250 0.750 0.500

***

Number 1 is which compound? Sr2PuVO6